(1)
Computed, not measured: crystalline Ag4Cl3F2 at its relaxed geometry at the PBE-GGA level of DFT.

The structure in POSCAR format:
```
Ag4Cl3F2
1.0
7.835 0.256 1.053
1.218 7.315 2.543
0.720 1.674 7.624
Ag F Cl
8 4 6
direct
0.147 0.270 0.944
0.647 0.944 0.270
0.137 0.733 0.631
0.637 0.631 0.733
0.853 0.730 0.056
0.363 0.369 0.267
0.863 0.267 0.369
0.353 0.056 0.730
0.404 0.822 0.560
0.596 0.178 0.440
0.904 0.560 0.822
0.096 0.440 0.178
0.978 0.006 0.255
0.478 0.255 0.006
0.522 0.745 0.994
0.750 0.548 0.452
0.250 0.452 0.548
0.022 0.994 0.745
```

Results
**Raw formation energy**: -0.664 eV per atom
**Crystal system**: monoclinic
**Polymorph energy (0 for the lowest one)**: 0.000 eV/atom
**Space-group type**: No. 15
**E_tot**: -53.327 eV for the cell shown


(2)
Computed, not measured: crystalline AgClF2 at its relaxed geometry at the PBE-GGA level of DFT.

The structure in POSCAR format:
```
AgClF2
1.0
-4.240 -0.670 -0.150
0.472 -3.529 2.404
-2.744 1.968 7.267
Ag F Cl
2 4 2
direct
0.750 0.250 0.500
0.000 0.000 0.000
0.684 0.125 0.250
0.066 0.625 0.250
0.375 0.316 0.750
0.875 0.934 0.750
0.500 0.500 0.000
0.250 0.750 0.500
```

Results
**Raw formation energy**: -0.351 eV per atom
**Crystal system**: tetragonal
**Polymorph energy (0 for the lowest one)**: 0.449 eV/atom
**Space-group type**: No. 122
**E_tot**: -19.692 eV for the cell shown


(3)
Computed, not measured: crystalline Ag2Cl3F at its relaxed geometry at the PBE-GGA level of DFT.

The structure in POSCAR format:
```
Ag2Cl3F
1.0
-3.318 -1.870 -5.313
12.128 2.628 -8.499
4.224 -4.460 4.648
Cl Ag F
12 8 4
direct
0.304 0.692 0.427
0.732 0.064 0.025
0.768 0.564 0.475
0.196 0.192 0.073
0.700 0.562 0.946
0.200 0.938 0.446
0.232 0.436 0.525
0.268 0.936 0.975
0.696 0.308 0.573
0.300 0.438 0.054
0.804 0.808 0.927
0.800 0.062 0.554
0.265 0.810 0.183
0.244 0.565 0.737
0.735 0.190 0.817
0.765 0.690 0.683
0.756 0.435 0.263
0.256 0.065 0.763
0.744 0.935 0.237
0.235 0.310 0.317
0.671 0.818 0.374
0.329 0.182 0.626
0.171 0.682 0.874
0.829 0.318 0.126
```

Results
**Raw formation energy**: -0.511 eV per atom
**Crystal system**: monoclinic
**Polymorph energy (0 for the lowest one)**: 0.000 eV/atom
**Space-group type**: No. 14
**E_tot**: -64.728 eV for the cell shown


no.,magnetic moment (μB per atom)
1,0.000
2,0.500
3,0.000